1.
First-principles (GGA-PBE) data for a relaxed CePrNbN3 crystal, as listed in Alexandria via LeMat-Bulk.

Cell: 7.3842 3.6162 8.3436 Å, 90.00 96.50 90.00°
Fractional coordinates of all 12 atoms:
Ce: 0.1302 0.2500 0.1566
Ce: 0.8698 0.7500 0.8434
Pr: 0.3422 0.7500 0.8553
Pr: 0.6578 0.2500 0.1447
Nb: 0.4063 0.7500 0.3932
Nb: 0.5937 0.2500 0.6068
N: 0.0934 0.2500 0.8827
N: 0.3241 0.2500 0.4758
N: 0.3906 0.7500 0.1494
N: 0.6094 0.2500 0.8506
N: 0.6759 0.7500 0.5242
N: 0.9066 0.7500 0.1173

Properties
energy relative to the elements, uncorrected = -1.04 eV/atom
space group = No. 11

***

2.
First-principles (GGA-PBE) data for a relaxed MgZnAgN2 crystal, as listed in Alexandria via LeMat-Bulk.

Cell: 3.9413 3.9413 5.0749 Å, 90.00 90.00 90.00°
Fractional coordinates of all 5 atoms:
Mg: 0.0000 0.0000 0.0000
Zn: 0.5000 0.5000 0.5000
Ag: 0.0000 0.0000 0.5000
N: 0.0000 0.5000 0.0000
N: 0.5000 0.0000 0.0000

Properties
energy relative to the elements, uncorrected = 1.36 eV/atom
space group = No. 123

***

3.
First-principles (GGA-PBE) data for a relaxed RePCl2 crystal, as listed in Alexandria via LeMat-Bulk.

Cell: 4.5724 14.1137 3.1230 Å, 90.00 90.00 90.00°
Fractional coordinates of all 8 atoms:
Re: 0.0000 0.0000 0.0000
Re: 0.5000 0.5000 0.0000
P: 0.0000 0.5000 0.0000
P: 0.5000 0.0000 0.0000
Cl: 0.0000 0.1340 0.5000
Cl: 0.0000 0.8660 0.5000
Cl: 0.5000 0.3660 0.5000
Cl: 0.5000 0.6340 0.5000

Properties
energy relative to the elements, uncorrected = -0.10 eV/atom
energy above the most stable polymorph in this dataset = 0.184 eV per atom
space group = No. 65

***

4.
First-principles (GGA-PBE) data for a relaxed Al5W crystal, as listed in Alexandria via LeMat-Bulk.

Cell: 2.7718 2.7718 12.5415 Å, 90.00 90.00 90.00°
Fractional coordinates of all 6 atoms:
Al: 0.0000 0.0000 0.0000
Al: 0.0000 0.0000 0.3388
Al: 0.0000 0.0000 0.6612
Al: 0.5000 0.5000 0.1693
Al: 0.5000 0.5000 0.8307
W: 0.5000 0.5000 0.5000

Properties
space group = No. 123
formation enthalpy at 0 K = 0.0318 eV/atom

***

5.
First-principles (GGA-PBE) data for a relaxed Zr4Ga2Hg5 crystal, as listed in Alexandria via LeMat-Bulk.

Cell: 7.6036 3.1955 9.5527 Å, 90.00 95.04 90.00°
Fractional coordinates of all 11 atoms:
Zr: 0.1647 0.0000 0.3719
Zr: 0.2583 0.0000 0.9418
Zr: 0.7417 0.0000 0.0582
Zr: 0.8353 0.0000 0.6281
Ga: 0.0633 0.5000 0.1311
Ga: 0.9367 0.5000 0.8689
Hg: 0.1793 0.5000 0.6544
Hg: 0.4460 0.5000 0.1895
Hg: 0.5000 0.5000 0.5000
Hg: 0.5540 0.5000 0.8105
Hg: 0.8207 0.5000 0.3456

Properties
space group = No. 10
formation enthalpy at 0 K = -0.2128 eV/atom

***

6.
First-principles (GGA-PBE) data for a relaxed Ba4NaPt2 crystal, as listed in Alexandria via LeMat-Bulk.

Cell: 16.1940 4.7708 8.6207 Å, 90.00 116.60 90.00°
Fractional coordinates of all 14 atoms:
Ba: 0.1352 0.0000 0.3626
Ba: 0.1610 0.5000 0.8059
Ba: 0.3390 0.0000 0.1941
Ba: 0.3648 0.5000 0.6374
Ba: 0.6352 0.5000 0.3626
Ba: 0.6610 0.0000 0.8059
Ba: 0.8390 0.5000 0.1941
Ba: 0.8648 0.0000 0.6374
Na: 0.0000 0.5000 0.0000
Na: 0.5000 0.0000 0.0000
Pt: 0.2168 0.5000 0.2257
Pt: 0.2832 0.0000 0.7743
Pt: 0.7168 0.0000 0.2257
Pt: 0.7832 0.5000 0.7743

Properties
energy above the most stable polymorph in this dataset = 0.000 eV per atom
space group = No. 12
formation enthalpy at 0 K = -0.5020 eV/atom

***

7.
First-principles (GGA-PBE) data for a relaxed KMgAg2F8 crystal, as listed in Alexandria via LeMat-Bulk.

Cell: 5.5514 5.5514 6.9939 Å, 90.00 90.00 120.00°
Fractional coordinates of all 12 atoms:
K: 0.0000 0.0000 0.0000
Mg: 0.0000 0.0000 0.5000
Ag: 0.3333 0.6667 0.6293
Ag: 0.6667 0.3333 0.3707
F: 0.0670 0.7364 0.3487
F: 0.2636 0.3306 0.3487
F: 0.3306 0.0670 0.6513
F: 0.3333 0.6667 0.9103
F: 0.6667 0.3333 0.0897
F: 0.6694 0.9330 0.3487
F: 0.7364 0.6694 0.6513
F: 0.9330 0.2636 0.6513

Properties
energy relative to the elements, uncorrected = -1.81 eV/atom
space group = No. 147

***

8.
First-principles (GGA-PBE) data for a relaxed Nd3Sb5O12 crystal, as listed in Alexandria via LeMat-Bulk.

Cell: 9.6533 9.6533 9.6533 Å, 109.47 109.47 109.47°
Fractional coordinates of all 40 atoms:
Nd: 0.2500 0.5000 0.7500
Nd: 0.2500 0.7500 0.5000
Nd: 0.5000 0.2500 0.7500
Nd: 0.5000 0.7500 0.2500
Nd: 0.7500 0.2500 0.5000
Nd: 0.7500 0.5000 0.2500
Sb: 0.0000 0.0000 0.4942
Sb: 0.0000 0.2813 0.2813
Sb: 0.0000 0.4942 0.0000
Sb: 0.0000 0.7187 0.7187
Sb: 0.2813 0.0000 0.2813
Sb: 0.2813 0.2813 0.0000
Sb: 0.4942 0.0000 0.0000
Sb: 0.5058 0.5058 0.5058
Sb: 0.7187 0.0000 0.7187
Sb: 0.7187 0.7187 0.0000
O: 0.0000 0.2923 0.4905
O: 0.0000 0.4905 0.2923
O: 0.0000 0.5275 0.8024
O: 0.0000 0.8024 0.5275
O: 0.1976 0.1976 0.7251
O: 0.1982 0.7077 0.7077
O: 0.1976 0.7251 0.1976
O: 0.2749 0.4725 0.4725
O: 0.2923 0.0000 0.4905
O: 0.2923 0.4905 0.0000
O: 0.4725 0.2749 0.4725
O: 0.4725 0.4725 0.2749
O: 0.4905 0.0000 0.2923
O: 0.4905 0.2923 0.0000
O: 0.5095 0.5095 0.8018
O: 0.5095 0.8018 0.5095
O: 0.5275 0.0000 0.8024
O: 0.5275 0.8024 0.0000
O: 0.7077 0.1982 0.7077
O: 0.7077 0.7077 0.1982
O: 0.7251 0.1976 0.1976
O: 0.8024 0.0000 0.5275
O: 0.8018 0.5095 0.5095
O: 0.8024 0.5275 0.0000

Properties
energy relative to the elements, uncorrected = -2.19 eV/atom
space group = No. 217

***

9.
First-principles (GGA-PBE) data for a relaxed OsSe3F crystal, as listed in Alexandria via LeMat-Bulk.

Cell: 4.4446 4.4446 4.4446 Å, 90.00 90.00 90.00°
Fractional coordinates of all 5 atoms:
Os: 0.0000 0.0000 0.0000
Se: 0.0000 0.5000 0.5000
Se: 0.5000 0.0000 0.5000
Se: 0.5000 0.5000 0.0000
F: 0.5000 0.5000 0.5000

Properties
energy relative to the elements, uncorrected = 1.24 eV/atom
energy above the most stable polymorph in this dataset = 1.463 eV per atom
space group = No. 221

***

10.
First-principles (GGA-PBE) data for a relaxed NdY3Te6 crystal, as listed in Alexandria via LeMat-Bulk.

Cell: 12.5245 4.3942 12.8730 Å, 90.00 109.34 90.00°
Fractional coordinates of all 20 atoms:
Nd: 0.0466 0.2500 0.1969
Nd: 0.9534 0.7500 0.8031
Y: 0.1555 0.2500 0.5819
Y: 0.3173 0.7500 0.9985
Y: 0.4346 0.2500 0.3344
Y: 0.5654 0.7500 0.6656
Y: 0.6827 0.2500 0.0015
Y: 0.8445 0.7500 0.4181
Te: 0.0849 0.7500 0.4026
Te: 0.1146 0.2500 0.9678
Te: 0.1945 0.7500 0.7504
Te: 0.2567 0.7500 0.2222
Te: 0.3919 0.2500 0.5601
Te: 0.4833 0.2500 0.1173
Te: 0.5167 0.7500 0.8827
Te: 0.6081 0.7500 0.4399
Te: 0.7433 0.2500 0.7778
Te: 0.8055 0.2500 0.2496
Te: 0.8854 0.7500 0.0322
Te: 0.9151 0.2500 0.5974

Properties
energy relative to the elements, uncorrected = -1.42 eV/atom
space group = No. 11

***

Calculated total moment (μB/f.u.), listed in the same order as above: 0.000 0.000 0.000 0.000 0.000 0.000 0.924 0.000 0.000 0.000